Record 1
Material: Sc2Co3B4
Method: DFT, PBE
State: optimized geometry

The structure belongs to space group Fmmm (No. 69); the cell edges are 4.841, 8.351 and 9.558 Å and the angles 90.00°, 90.00° and 90.00°. The distinct sites, in fractional coordinates, are Sc at (0.000, 0.000, 0.148), Co at (0.000, 0.000, 0.500), Co at (0.250, 0.250, 0.000) and B at (0.000, 0.207, 0.335).



Record 2
Material: CaZr2CuN4
Method: DFT, PBE
State: optimized geometry

The uncorrected formation energy is -8.13 eV per formula unit.

The structure belongs to space group Cmcm (No. 63); the cell edges are 3.288, 11.018 and 11.266 Å and the angles 90.00°, 90.00° and 90.00°. The distinct sites, in fractional coordinates, are Ca at (0.000, 0.107, 0.250), Zr at (0.000, 0.367, 0.053), Cu at (0.000, 0.158, 0.750), N at (0.000, 0.000, 0.000), N at (0.000, 0.263, 0.609) and N at (0.000, 0.441, 0.250).



Record 3
Material: ZrBeTc
Method: DFT, PBE
State: optimized geometry

The structure belongs to space group I4mm (No. 107); the cell edges are 3.257, 3.257 and 8.642 Å and the angles 90.00°, 90.00° and 90.00°. The distinct sites, in fractional coordinates, are Zr at (0.000, 0.000, 0.000), Be at (0.000, 0.000, 0.697) and Tc at (0.000, 0.000, 0.308).



Record 4
Material: Sr2MgCo
Method: DFT, PBE
State: optimized geometry

The structure belongs to space group I-42d (No. 122); the cell edges are 10.836, 10.836 and 4.983 Å and the angles 90.00°, 90.00° and 90.00°. The distinct sites, in fractional coordinates, are Sr at (0.081, 0.250, 0.125), Mg at (0.000, 0.000, 0.500) and Co at (0.000, 0.000, 0.000).



Record 5
Material: Pr2GeSe
Method: DFT, PBE
State: optimized geometry

The uncorrected formation energy is -5.14 eV per formula unit.

The structure belongs to space group R3m (No. 160, hexagonal axes); the cell edges are 4.2562, 4.2562 and 22.2670 Å and the angles 90.00°, 90.00° and 120.00°. The distinct sites, in fractional coordinates, are Pr at (0.0000, 0.0000, 0.0000), Pr at (0.0000, 0.0000, 0.1786), Ge at (0.0000, 0.0000, 0.5896) and Se at (0.0000, 0.0000, 0.4203).



Record 6
Material: YMn2TlH
Method: DFT, PBE
State: optimized geometry

The structure belongs to space group P4/mmm (No. 123); the cell edges are 5.100, 5.100 and 5.898 Å and the angles 90.00°, 90.00° and 90.00°. The distinct sites, in fractional coordinates, are Y at (0.000, 0.000, 0.000), Mn at (0.000, 0.500, 0.500), Tl at (0.000, 0.000, 0.500) and H at (0.500, 0.500, 0.000).



Record 7
Material: K2TcMo
Method: DFT, PBE
State: optimized geometry

The structure belongs to space group I-42d (No. 122); the cell edges are 12.780, 12.780 and 4.384 Å and the angles 90.00°, 90.00° and 90.00°. The distinct sites, in fractional coordinates, are K at (0.079, 0.750, 0.125), Tc at (0.000, 0.000, 0.000) and Mo at (0.000, 0.000, 0.500).



Record 8
Material: AcPr2Sm3
Method: DFT, PBE
State: optimized geometry

The structure belongs to space group Cmcm (No. 63); the cell edges are 11.382, 11.116 and 6.880 Å and the angles 90.00°, 90.00° and 90.00°. The distinct sites, in fractional coordinates, are Ac at (0.000, 0.105, 0.250), Pr at (0.151, 0.251, 0.750), Sm at (0.000, 0.417, 0.250) and Sm at (0.244, 0.500, 0.000).



Record 9
Material: TiMnZnFe
Method: DFT, PBE
State: optimized geometry

The structure belongs to space group R3m (No. 160, hexagonal axes); the cell edges are 3.9970, 3.9970 and 11.5720 Å and the angles 90.00°, 90.00° and 120.00°. The distinct sites, in fractional coordinates, are Ti at (0.0000, 0.0000, 0.0000), Mn at (0.0000, 0.0000, 0.2147), Zn at (0.0000, 0.0000, 0.7722) and Fe at (0.0000, 0.0000, 0.5413).



Record 10
Material: ZrZnC2
Method: DFT, PBE
State: optimized geometry

The structure belongs to space group I-42d (No. 122); the cell edges are 4.449, 4.449 and 11.552 Å and the angles 90.00°, 90.00° and 90.00°. The distinct sites, in fractional coordinates, are Zr at (0.000, 0.000, 0.000), Zn at (0.000, 0.000, 0.500) and C at (0.221, 0.250, 0.625).



Record 11
Material: ZnGaFeAu
Method: DFT, PBE
State: optimized geometry

The structure belongs to space group F-43m (No. 216); the cell edges are 6.190, 6.190 and 6.190 Å and the angles 90.00°, 90.00° and 90.00°. The distinct sites, in fractional coordinates, are Zn at (0.000, 0.000, 0.000), Ga at (0.000, 0.000, 0.500), Fe at (0.250, 0.250, 0.750) and Au at (0.250, 0.250, 0.250).



Record 12
Material: Mg6CdIr2
Method: DFT, PBE
State: optimized geometry

The structure belongs to space group P-3m1 (No. 164); the cell edges are 4.6228, 4.6228 and 8.6417 Å and the angles 90.00°, 90.00° and 120.00°. The distinct sites, in fractional coordinates, are Mg at (0.0000, 0.0000, 0.1856), Mg at (0.3333, 0.6667, 0.0590), Mg at (0.3333, 0.6667, 0.3927), Cd at (0.0000, 0.0000, 0.5000) and Ir at (0.3333, 0.6667, 0.7396).



Record 13
Material: K2Ca2Ir
Method: DFT, PBE
State: optimized geometry

The structure belongs to space group P4/mbm (No. 127); the cell edges are 7.776, 7.776 and 5.674 Å and the angles 90.00°, 90.00° and 90.00°. The distinct sites, in fractional coordinates, are K at (0.135, 0.365, 0.000), Ca at (0.204, 0.704, 0.500) and Ir at (0.000, 0.000, 0.000).



Record 14
Material: SrLi6ZnCd
Method: DFT, PBE
State: optimized geometry

The structure belongs to space group Imma (No. 74); the cell edges are 7.173, 10.013 and 12.152 Å and the angles 90.00°, 90.00° and 90.00°. The distinct sites, in fractional coordinates, are Sr at (0.000, 0.250, 0.182), Li at (0.000, 0.250, 0.495), Li at (0.000, 0.250, 0.917), Li at (0.196, 0.021, 0.622), Zn at (0.000, 0.000, 0.000) and Cd at (0.250, 0.250, 0.750).



The following raw total energy values (in eV/cell) correspond, in order, to the records above: -250.2, -258.5, -46.2, -42.6, -68.4, -24.0, -69.2, -106.9, -79.6, -99.5, -63.8, -30.2, -22.7, -60.8.
The following DOS at the Fermi energy values (in states/eV/f.u.) correspond, in order, to the records above: 5.1, 3.1, 2.7, 4.6, 2.0, 4.8, 6.1, 7.2, 4.7, 3.5, 4.2, 4.2, 4.3, 3.9.
The following spin magnetization values (in Bohr magnetons per cell) correspond, in order, to the records above: 0.00, 0.00, 0.00, 0.00, 0.00, 8.79, 0.00, 0.00, 0.75, 0.00, 9.15, 0.00, 0.00, 0.00.